# CrNi6Mo

Crystalline CrNi6Mo at its relaxed geometry (GGA-PBE, the Alexandria database).

## Properties
raw total energy	-6.903	eV/atom
formation energy	-0.011	eV per atom
ρ	9.0	g/cm3
space group	Fmmm (69)

Lattice parameters (Å, degrees): 4.4225 4.4225 5.6416 104.93 104.93 110.04
Each line ends with the local moment (μB).
Atoms (fractional coordinates):
1 Mo 0.5000 0.5000 0.0000  -0.16
2 Ni 0.7522 0.7522 0.5044  0.04
3 Ni 0.8728 0.3728 0.7457  0.09
4 Ni 0.2478 0.2478 0.4956  0.04
5 Ni 0.1272 0.6272 0.2543  0.09
6 Ni 0.3729 0.8728 0.7457  0.09
7 Ni 0.6271 0.1272 0.2543  0.09
8 Cr 0.0000 0.0000 0.0000  1.53

# Y8AlPd2

Crystalline Y8AlPd2 at its relaxed geometry (GGA-PBE, the Alexandria database).

## Properties
raw total energy	-6.275	eV/atom
formation energy	-0.290	eV per atom
ρ	5.1	g/cm3
space group	Cm (8)

Lattice parameters (Å, degrees): 5.4290 8.0820 8.0820 114.66 98.68 98.68
Each line ends with the local moment (μB).
Atoms (fractional coordinates):
1 Y 0.5815 0.3293 0.0840  0.07
2 Y 0.4181 0.9222 0.6770  0.07
3 Y 0.0000 0.7658 0.2401  0.02
4 Y 0.4181 0.6770 0.9222  0.07
5 Y 0.5815 0.0840 0.3293  0.07
6 Y 0.1884 0.3882 0.3882  0.07
7 Y 0.8113 0.6178 0.6178  0.07
8 Y 0.0000 0.2401 0.7658  0.02
9 Pd 0.5001 0.3087 0.6979  0.01
10 Pd 0.5001 0.6979 0.3087  0.01
11 Al 0.0006 0.0029 0.0029  0.00

# SrZrFe2Ni

Crystalline SrZrFe2Ni at its relaxed geometry (GGA-PBE, the Alexandria database).

## Properties
raw total energy	-5.645	eV/atom
formation energy	0.942	eV per atom
ρ	5.9	g/cm3
space group	P4/mmm (123)

Lattice parameters (Å, degrees): 4.6334 4.6052 4.6334 90.00 90.00 90.00
Each line ends with the local moment (μB).
Atoms (fractional coordinates):
1 Fe 0.5000 0.0000 0.0000  0.07
2 Fe 0.0000 0.0000 0.5000  0.04
3 Sr 0.5000 0.5000 0.5000  0.00
4 Zr 0.0000 0.5000 0.0000  -0.01
5 Ni 0.0000 0.0000 0.0000  0.09

# Ta2SbAu

Crystalline Ta2SbAu at its relaxed geometry (GGA-PBE, the Alexandria database).

## Properties
ΔE_f (raw)	0.18	eV/atom
raw total energy	-7.593	eV/atom
ρ	14.9	g/cm3
space group	C2/m (12)

Lattice parameters (Å, degrees): 6.0140 5.2878 2.9971 83.55 72.50 118.91
Atoms (fractional coordinates):
1 Sb 0.5000 0.5000 0.0000
2 Au 0.0000 0.5000 0.5000
3 Ta 0.5000 0.0000 0.5000
4 Ta 0.0000 0.0000 0.0000

# Nd7Tl3In

Crystalline Nd7Tl3In at its relaxed geometry (GGA-PBE, the Alexandria database).

## Properties
raw total energy	-4.098	eV/atom
formation energy	-0.170	eV per atom
ρ	8.1	g/cm3
space group	Immm (71)

Lattice parameters (Å, degrees): 6.0242 8.3083 8.3083 91.34 111.27 111.27
Atoms (fractional coordinates):
1 Nd 0.6711 0.9390 0.4036
2 Nd 0.8206 0.8212 0.8212
3 Nd 0.3289 0.5964 0.0610
4 Nd 0.1794 0.1788 0.1788
5 Nd 0.0000 0.5000 0.5000
6 Nd 0.6711 0.4036 0.9390
7 Nd 0.3289 0.0610 0.5964
8 Tl 0.0000 0.7652 0.2348
9 Tl 0.0000 0.2348 0.7652
10 Tl 0.5000 0.0000 0.0000
11 In 0.5000 0.5000 0.5000

# LaDyYEr

Crystalline LaDyYEr at its relaxed geometry (GGA-PBE, the Alexandria database).

## Properties
raw total energy	-5.030	eV/atom
formation energy	0.109	eV per atom
ρ	6.9	g/cm3
space group	F-43m (216)

Lattice parameters (Å, degrees): 5.7347 5.7347 5.7347 60.00 60.00 60.00
Atoms (fractional coordinates):
1 Dy 0.5000 0.5000 0.5000
2 La 0.0000 0.0000 0.0000
3 Er 0.7500 0.7500 0.7500
4 Y 0.2500 0.2500 0.2500

Number 4 is which compound? Ta2SbAu

The highest raw total energy belongs to which entry? Nd7Tl3In